[1]
The following is a DFT calculation (PBE) of a relaxed structure of Na2OsF2.

Structure (extended XYZ):
```
10
Lattice="-2.823 5.022 4.325 -6.551 -1.401 -2.649 -0.367 -1.812 1.865" Properties=species:S:1:pos:R:3 pbc="T T T"
Os 0.000 0.000 0.000
F -2.773 3.037 2.406
Na -2.116 0.707 2.120
Na -4.972 2.909 3.699
F -6.601 0.584 -0.730
F -6.640 3.389 1.987
F -2.734 0.232 -0.312
Na -7.625 1.101 1.420
Os -4.687 1.810 0.838
Na -4.769 -1.101 -0.158
```

Values from the calculation:
ΔE_f (raw): -0.767 eV per atom
V: 136.3 Å³/cell
energy relative to the lowest polymorph listed for this composition: 0.000 eV per atom

[2]
The following is a DFT calculation (PBE) of a relaxed structure of NaOs2F4.

Structure (extended XYZ):
```
7
Lattice="-4.532 -1.230 -0.440 0.682 -0.872 -4.585 -0.651 -6.162 -1.351" Properties=species:S:1:pos:R:3 pbc="T T T"
F -3.313 -4.257 -4.535
F -1.188 -4.006 -1.841
Os -2.828 -6.201 -4.093
F 0.341 -0.436 -2.292
Os -1.673 -2.062 -2.283
Na 0.000 0.000 0.000
F -2.266 -0.615 -0.220
```

Values from the calculation:
ΔE_f (raw): -0.460 eV per atom
V: 120.0 Å³/cell

[3]
The following is a DFT calculation (PBE) of a relaxed structure of Na6OsF12.

Structure (extended XYZ):
```
19
Lattice="6.725 -0.010 -0.012 -1.030 6.645 -0.012 -1.030 -1.200 6.536" Properties=species:S:1:pos:R:3 pbc="T T T"
F 6.108 1.655 0.663
Na 0.065 3.562 2.381
F 3.955 5.907 0.206
F 5.239 -0.656 4.765
F 0.105 1.907 3.935
F -0.573 6.092 1.747
F 0.710 -0.471 6.306
F 1.869 3.802 1.090
F -1.443 3.780 5.848
Na 2.989 5.112 2.582
F 3.475 0.639 2.580
F 1.191 4.797 3.932
Na 4.600 1.874 4.131
F 4.561 3.528 2.576
Na 1.677 0.323 3.930
Na 3.511 2.235 1.020
F 2.796 1.634 5.422
Na 1.155 3.201 5.491
Os 0.000 0.000 0.000
```

Values from the calculation:
ΔE_f (raw): -2.298 eV per atom
V: 291.8 Å³/cell

[4]
The following is a DFT calculation (PBE) of a relaxed structure of NaOsF6.

Structure (extended XYZ):
```
8
Lattice="5.114 0.191 -0.751 -2.523 4.452 -0.751 0.211 0.379 5.307" Properties=species:S:1:pos:R:3 pbc="T T T"
Na 0.000 0.000 0.000
F 0.792 4.096 2.794
Os 1.401 2.511 1.903
F 0.811 1.452 3.382
F -0.267 2.197 1.011
F 2.011 0.926 1.011
F 1.992 3.570 0.423
F 3.070 2.825 2.794
```

Values from the calculation:
ΔE_f (raw): -2.094 eV per atom
V: 126.2 Å³/cell

[5]
The following is a DFT calculation (PBE) of a relaxed structure of NaOsF3.

Structure (extended XYZ):
```
5
Lattice="-3.455 1.057 -2.195 -1.333 -4.008 0.168 -2.039 0.829 3.609" Properties=species:S:1:pos:R:3 pbc="T T T"
Na -3.413 -1.061 0.791
F -1.020 0.414 1.805
F -0.666 -2.004 0.084
F -1.727 0.528 -1.097
Os 0.000 0.000 0.000
```

Values from the calculation:
ΔE_f (raw): -1.091 eV per atom
V: 75.5 Å³/cell
energy relative to the lowest polymorph listed for this composition: 0.000 eV per atom

[6]
The following is a DFT calculation (PBE) of a relaxed structure of NaOs2F.

Structure (extended XYZ):
```
8
Lattice="-2.080 2.199 -1.592 -2.335 -2.472 -0.364 -7.830 3.376 11.223" Properties=species:S:1:pos:R:3 pbc="T T T"
Na -6.059 2.719 4.326
Na 0.000 0.000 0.000
Os -3.675 -0.428 2.380
Os -9.737 2.291 6.705
Os -3.551 1.911 1.764
Os -7.526 2.431 7.684
F -2.207 -0.137 -0.978
F -6.186 0.384 4.940
```

Values from the calculation:
ΔE_f (raw): 0.111 eV per atom
V: 162.4 Å³/cell
energy relative to the lowest polymorph listed for this composition: 0.000 eV per atom

Question: Look up the V of the fifth one.
Answer: 75.5 Å³/cell

Question: What is the formula in the third record?
Answer: Na6OsF12

Question: Number 2 is which compound?
Answer: NaOs2F4

Question: Which of these has the lowest ΔE_f (raw)?
Answer: Na6OsF12